This record from the Alexandria database describes an optimized crystal structure of ZnGa4Co5. The functional is PBE-GGA.

Geometry as POSCAR:
```
ZnGa4Co5
1.0
2.881 0.000 0.000
0.000 2.881 0.000
0.000 0.000 14.375
Zn Ga Co
1 4 5
Cartesian
0.000 0.000 0.000 Zn
0.000 0.000 2.843 Ga
0.000 0.000 5.744 Ga
0.000 0.000 8.631 Ga
0.000 0.000 11.532 Ga
1.440 1.440 1.486 Co
1.440 1.440 4.326 Co
1.440 1.440 7.187 Co
1.440 1.440 10.049 Co
1.440 1.440 12.889 Co
```

Magnetic moment: 0.006 Bohr magnetons per cell
VASP energy: -5.134 eV per atom
Calculated formation energy: -5.6 kcal/mol of atoms
DOS at the Fermi energy: 3.40 states/eV/cell